Compound: LiMg4AlMo6O24
Source: the Alexandria database
Functional: PBE with a Hubbard U
Structure: relaxed

a = 7.017 Å, b = 8.382 Å, c = 9.884 Å
α = 95.91°, β = 107.58°, γ = 101.88°
Sites, in units of the cell vectors:
O (0.017, 0.630, 0.211)
O (0.751, 0.788, 0.023)
O (0.234, 0.203, 0.958)
O (0.133, 0.757, 0.968)
O (0.955, 0.229, 0.366)
O (0.647, 0.364, 0.186)
O (0.140, 0.982, 0.237)
O (0.453, 0.770, 0.597)
O (0.331, 0.637, 0.814)
O (0.266, 0.370, 0.267)
O (0.258, 0.040, 0.561)
O (0.758, 0.629, 0.744)
O (0.352, 0.398, 0.581)
O (0.556, 0.208, 0.421)
O (0.445, 0.982, 0.849)
O (0.548, 0.380, 0.864)
O (0.046, 0.758, 0.656)
O (0.849, 0.031, 0.738)
O (0.853, 0.227, 0.004)
O (0.557, 0.025, 0.145)
O (0.737, 0.934, 0.425)
O (0.449, 0.640, 0.150)
O (0.664, 0.596, 0.436)
O (0.986, 0.402, 0.789)
Mo (0.014, 0.793, 0.114)
Mo (0.700, 0.105, 0.338)
Mo (0.507, 0.491, 0.261)
Mo (0.978, 0.213, 0.871)
Mo (0.499, 0.521, 0.747)
Mo (0.305, 0.886, 0.665)
Mg (0.750, 0.805, 0.588)
Mg (0.250, 0.195, 0.402)
Mg (0.542, 0.199, 0.999)
Mg (0.463, 0.803, 0.015)
Li (0.969, 0.389, 0.219)
Al (0.038, 0.622, 0.792)

Values from the calculation:
Calculated total energy ... -6.85 eV per atom

***

Compound: LiMgAlMo3O12
Source: the Alexandria database
Functional: PBE with a Hubbard U
Structure: relaxed

a = 6.802 Å, b = 6.885 Å, c = 11.528 Å
α = 77.75°, β = 86.20°, γ = 78.10°
Sites, in units of the cell vectors:
O (0.318, 0.689, 0.790)
O (0.940, 0.365, 0.663)
O (0.999, 0.195, 0.047)
O (0.682, 0.311, 0.210)
O (0.013, 0.801, 0.633)
O (0.242, 0.244, 0.838)
O (0.001, 0.805, 0.953)
O (0.596, 0.734, 0.615)
O (0.718, 0.949, 0.367)
O (0.700, 0.550, 0.963)
O (0.300, 0.450, 0.037)
O (0.987, 0.199, 0.367)
O (0.309, 0.053, 0.212)
O (0.758, 0.756, 0.162)
O (0.699, 0.154, 0.544)
O (0.667, 0.508, 0.395)
O (0.611, 0.136, 0.000)
O (0.404, 0.266, 0.385)
O (0.389, 0.864, 0.000)
O (0.282, 0.051, 0.633)
O (0.301, 0.846, 0.456)
O (0.691, 0.947, 0.788)
O (0.060, 0.635, 0.337)
O (0.333, 0.492, 0.605)
Mo (0.742, 0.302, 0.055)
Mo (0.199, 0.288, 0.685)
Mo (0.750, 0.906, 0.644)
Mo (0.801, 0.712, 0.315)
Mo (0.250, 0.094, 0.356)
Mo (0.258, 0.698, 0.945)
Mg (0.300, 0.159, 0.022)
Mg (0.700, 0.841, 0.978)
Al (0.302, 0.770, 0.627)
Al (0.698, 0.230, 0.373)
Li (0.671, 0.439, 0.586)
Li (0.329, 0.561, 0.414)

Values from the calculation:
Calculated total energy ... -6.90 eV per atom

***

Q: Look up the calculated total energy of the second one.
A: -6.90 eV per atom